Record 1
Entry from Alexandria via LeMat-Bulk: crystalline Zr3CF at its relaxed geometry (PBE-GGA).

Results
**Energy relative to the elements, uncorrected**: -0.889 eV/f.u.
**Density**: 5.4 g/cm3
**Distance to the lowest polymorph of the same formula**: 0.0 meV/atom

Lattice parameters (Å, degrees): 4.5483 4.5483 4.5483 90.00 90.00 90.00
Sites, in units of the cell vectors:
Zr 0.5000 0.0000 0.0000
Zr 0.0000 0.5000 0.0000
Zr 0.0000 0.0000 0.5000
F 0.5000 0.5000 0.5000
C 0.0000 0.0000 0.0000

=====

Record 2
Entry from Alexandria via LeMat-Bulk: crystalline Zr4FeN2 at its relaxed geometry (PBE-GGA).

Results
**Energy relative to the elements, uncorrected**: -7.508 eV/f.u.
**Density**: 7.0 g/cm3

Lattice parameters (Å, degrees): 3.2869 5.7713 11.7157 90.00 90.00 106.54
Sites, in units of the cell vectors:
Fe 0.6106 0.2212 0.7500
Fe 0.3894 0.7788 0.2500
N 0.1332 0.2663 0.4407
N 0.8668 0.7337 0.9407
N 0.1332 0.2663 0.0593
N 0.8668 0.7337 0.5593
Zr 0.7700 0.5401 0.1114
Zr 0.0645 0.1291 0.2500
Zr 0.5000 0.0000 0.0000
Zr 0.9355 0.8709 0.7500
Zr 0.5000 0.0000 0.5000
Zr 0.2300 0.4599 0.8886
Zr 0.7700 0.5401 0.3886
Zr 0.2300 0.4599 0.6114